# CsCaAlF6

A relaxed CsCaAlF6 crystal (PBE, the Alexandria database).

Unit cell a=7.5120 b=7.5120 c=7.5120 alpha=121.20 beta=116.68 gamma=91.89
Last column: nearest neighbours and their distance in Å.
Element x y z (fractional)
Cs 0.3576 0.1076 0.2500  9 F 3.04-3.38
Cs 0.6424 0.8924 0.7500  9 F 3.04-3.38
Ca 0.0000 0.5000 0.5000  6 F 2.24-2.30
Ca 0.5000 0.5000 0.0000  6 F 2.24-2.30
Al 0.0000 0.0000 0.5000  6 F 1.82-1.85
Al 0.0000 0.5000 0.0000  6 F 1.82-1.85
F 0.0128 0.7628 0.2500  2 Al 1.85
F 0.0396 0.3896 0.1754  1 Al 1.82
F 0.0396 0.8642 0.6500  1 Al 1.82
F 0.2858 0.1358 0.6754  1 Al 1.82
F 0.2858 0.6104 0.1500  1 Al 1.82
F 0.3514 0.6014 0.7500  2 Ca 2.24
F 0.6486 0.3986 0.2500  2 Ca 2.24
F 0.7142 0.3896 0.8500  1 Al 1.82
F 0.7142 0.8642 0.3246  1 Al 1.82
F 0.9604 0.1358 0.3500  1 Al 1.82
F 0.9604 0.6104 0.8246  1 Al 1.82
F 0.9872 0.2372 0.7500  2 Al 1.85

Summary:
Raw total energy ... -100.0 eV per cell
V ... 16.88 A^3/atom
Symmetry ... Imma
Formation energy from raw total energies ... -3.5732 eV per atom